Record 1
The following is a PBE calculation of a relaxed structure of BeCdP2O, from Alexandria.

Cell: 5.052 5.052 3.951 Å, 90.00 90.00 90.00°
Element x y z (fractional)
Be 0.000 0.000 0.000
Cd 0.500 0.500 0.500
P 0.000 0.500 0.500
P 0.500 0.000 0.500
O 0.500 0.500 0.000

Calculated values
Volume   20.17 Å³ per atom
Relative energy among the computed polymorphs   1413 meV per atom
Space-group type   P4/mmm (123)
Formation energy without anion corrections   1.294 eV/atom
Uncorrected energy   -2.7903 eV per atom

Record 2
The following is a PBE calculation of a relaxed structure of Dy2InRh3, from Alexandria.

Cell: 4.747 4.747 11.621 Å, 90.00 90.00 120.00°
Element x y z (fractional)
Dy 0.000 0.000 0.000
Dy 0.000 0.000 0.500
Dy 0.333 0.667 0.178
Dy 0.667 0.333 0.822
In 0.333 0.667 0.665
In 0.667 0.333 0.335
Rh 0.000 0.000 0.252
Rh 0.000 0.000 0.748
Rh 0.333 0.667 0.421
Rh 0.333 0.667 0.915
Rh 0.667 0.333 0.085
Rh 0.667 0.333 0.579

Calculated values
Volume   18.90 Å³ per atom
Relative energy among the computed polymorphs   0 meV per atom
Space-group type   P-3m1 (164)
Energy of formation   -0.792 eV per atom
Uncorrected energy   -6.4582 eV per atom

Record 3
The following is a PBE calculation of a relaxed structure of Ta2SiMo, from Alexandria.

Cell: 2.776 2.776 8.529 Å, 90.00 90.00 90.00°
Element x y z (fractional)
Ta 0.000 0.000 0.228
Ta 0.000 0.000 0.772
Si 0.500 0.500 0.000
Mo 0.500 0.500 0.500

Calculated values
Volume   16.43 Å³ per atom
Space-group type   P4/mmm (123)
Formation energy without anion corrections   0.019 eV/atom
Uncorrected energy   -9.9713 eV per atom

Record 4
The following is a PBE calculation of a relaxed structure of AcHo2SbN4, from Alexandria.

Cell: 6.292 6.292 11.810 Å, 90.00 90.00 144.89°
Element x y z (fractional)
Ac 0.101 0.899 0.750
Ac 0.899 0.101 0.250
Ho 0.373 0.627 0.539
Ho 0.373 0.627 0.961
Ho 0.627 0.373 0.039
Ho 0.627 0.373 0.461
Sb 0.158 0.842 0.250
Sb 0.842 0.158 0.750
N 0.000 0.000 0.000
N 0.000 0.000 0.500
N 0.276 0.724 0.122
N 0.276 0.724 0.378
N 0.422 0.578 0.750
N 0.578 0.422 0.250
N 0.724 0.276 0.622
N 0.724 0.276 0.878

Calculated values
Volume   16.81 Å³ per atom
Space-group type   Cmcm (63)
Formation energy without anion corrections   -0.752 eV/atom
Uncorrected energy   -7.0879 eV per atom

Record 5
The following is a PBE calculation of a relaxed structure of YMgAs, from Alexandria.

Cell: 4.060 4.060 5.677 Å, 90.00 90.00 120.00°
Element x y z (fractional)
Y 0.000 0.000 0.000
Mg 0.333 0.667 0.524
As 0.667 0.333 0.276

Calculated values
Volume   27.01 Å³ per atom
Relative energy among the computed polymorphs   219 meV per atom
Space-group type   P3m1 (156)
Energy of formation   -0.654 eV per atom
Uncorrected energy   -4.8903 eV per atom

Record 6
The following is a PBE calculation of a relaxed structure of Li4Ir, from Alexandria.

Cell: 4.723 4.723 4.723 Å, 90.00 90.00 90.00°
Element x y z (fractional)
Li 0.000 0.000 0.000
Li 0.000 0.500 0.500
Li 0.500 0.000 0.500
Li 0.500 0.500 0.000
Ir 0.500 0.500 0.500

Calculated values
Volume   21.08 Å³ per atom
Relative energy among the computed polymorphs   380 meV per atom
Space-group type   Pm-3m (221)
Energy of formation   0.323 eV per atom
Uncorrected energy   -2.9798 eV per atom

Record 7
The following is a PBE calculation of a relaxed structure of SrZn2PdF8, from Alexandria.

Cell: 5.987 5.987 7.028 Å, 90.00 90.00 120.00°
Element x y z (fractional)
Sr 0.000 0.000 0.000
Zn 0.333 0.667 0.213
Zn 0.667 0.333 0.787
Pd 0.000 0.000 0.500
F 0.153 0.306 0.283
F 0.153 0.847 0.283
F 0.306 0.153 0.717
F 0.333 0.667 0.945
F 0.667 0.333 0.055
F 0.694 0.847 0.283
F 0.847 0.153 0.717
F 0.847 0.694 0.717

Calculated values
Volume   18.18 Å³ per atom
Space-group type   P-3m1 (164)
Formation energy without anion corrections   -2.273 eV/atom
Uncorrected energy   -4.3061 eV per atom

Record 8
The following is a PBE calculation of a relaxed structure of RbCu2Ge, from Alexandria.

Cell: 8.658 8.658 8.658 Å, 144.39 144.39 51.25°
Element x y z (fractional)
Rb 0.375 0.625 0.750
Rb 0.625 0.375 0.250
Cu 0.000 0.000 0.000
Cu 0.000 0.000 0.500
Cu 0.000 0.500 0.000
Cu 0.500 0.000 0.500
Ge 0.125 0.875 0.250
Ge 0.875 0.125 0.750

Calculated values
Volume   27.36 Å³ per atom
Space-group type   I4_1/amd (141)
Energy of formation   0.190 eV per atom
Uncorrected energy   -3.2539 eV per atom

Record 9
The following is a PBE calculation of a relaxed structure of Ca6Au2SeN, from Alexandria.

Cell: 6.930 7.592 12.062 Å, 90.00 123.23 90.00°
Element x y z (fractional)
Ca 0.119 0.031 0.229
Ca 0.119 0.469 0.729
Ca 0.218 0.717 0.055
Ca 0.218 0.783 0.555
Ca 0.343 0.171 0.051
Ca 0.343 0.329 0.551
Ca 0.657 0.671 0.449
Ca 0.657 0.829 0.949
Ca 0.782 0.217 0.445
Ca 0.782 0.283 0.945
Ca 0.881 0.531 0.271
Ca 0.881 0.969 0.771
Au 0.285 0.085 0.750
Au 0.285 0.415 0.250
Au 0.715 0.585 0.750
Au 0.715 0.915 0.250
Se 0.500 0.000 0.500
Se 0.500 0.500 0.000
N 0.000 0.000 0.000
N 0.000 0.500 0.500

Calculated values
Volume   26.54 Å³ per atom
Space-group type   P2_1/c (14)
Formation energy without anion corrections   -0.890 eV/atom
Uncorrected energy   -3.9279 eV per atom

Record 10
The following is a PBE calculation of a relaxed structure of Ce3PmSm3Te8, from Alexandria.

Cell: 8.912 8.912 8.912 Å, 59.99 59.99 59.99°
Element x y z (fractional)
Ce 0.000 0.500 0.500
Ce 0.500 0.000 0.500
Ce 0.500 0.500 0.000
Pm 0.000 0.000 0.000
Sm 0.000 0.000 0.500
Sm 0.000 0.500 0.000
Sm 0.500 0.000 0.000
Te 0.249 0.249 0.249
Te 0.252 0.745 0.745
Te 0.255 0.255 0.748
Te 0.255 0.748 0.255
Te 0.745 0.252 0.745
Te 0.745 0.745 0.252
Te 0.748 0.255 0.255
Te 0.751 0.751 0.751

Calculated values
Volume   33.36 Å³ per atom
Space-group type   R-3m (166)
Formation energy without anion corrections   -1.423 eV/atom
Uncorrected energy   -5.5454 eV per atom

Record 11
The following is a PBE calculation of a relaxed structure of CdInW, from Alexandria.

Cell: 2.978 3.213 13.590 Å, 90.00 95.38 90.00°
Element x y z (fractional)
Cd 0.000 0.000 0.000
Cd 0.024 0.000 0.371
In 0.493 0.500 0.189
In 0.815 0.500 0.803
W 0.274 0.000 0.647
W 0.568 0.500 0.527

Calculated values
Volume   21.57 Å³ per atom
Relative energy among the computed polymorphs   62 meV per atom
Space-group type   Pm (6)
Energy of formation   0.318 eV per atom
Uncorrected energy   -5.2175 eV per atom

Record 12
The following is a PBE calculation of a relaxed structure of Nd2PdCl, from Alexandria.

Cell: 3.442 3.442 8.212 Å, 90.00 90.00 90.00°
Element x y z (fractional)
Nd 0.000 0.000 0.230
Nd 0.000 0.000 0.770
Pd 0.500 0.500 0.000
Cl 0.500 0.500 0.500

Calculated values
Volume   24.33 Å³ per atom
Relative energy among the computed polymorphs   101 meV per atom
Space-group type   P4/mmm (123)
Formation energy without anion corrections   -0.959 eV/atom
Uncorrected energy   -5.1026 eV per atom

Record 13
The following is a PBE calculation of a relaxed structure of Ho2BeS, from Alexandria.

Cell: 9.242 9.242 9.242 Å, 22.75 22.75 22.75°
Element x y z (fractional)
Ho 0.106 0.106 0.106
Ho 0.894 0.894 0.894
Be 0.000 0.000 0.000
S 0.500 0.500 0.500

Calculated values
Volume   25.90 Å³ per atom
Space-group type   R-3m (166)
Formation energy without anion corrections   -0.193 eV/atom
Uncorrected energy   -4.4455 eV per atom

Record 14
The following is a PBE calculation of a relaxed structure of MgB2Br, from Alexandria.

Cell: 4.473 4.473 4.473 Å, 60.00 60.00 60.00°
Element x y z (fractional)
Mg 0.000 0.000 0.000
B 0.250 0.250 0.250
B 0.750 0.750 0.750
Br 0.500 0.500 0.500

Calculated values
Volume   15.82 Å³ per atom
Relative energy among the computed polymorphs   285 meV per atom
Space-group type   Fm-3m (225)
Formation energy without anion corrections   1.777 eV/atom
Uncorrected energy   -2.3788 eV per atom

Record 15
The following is a PBE calculation of a relaxed structure of Hg2RuPb, from Alexandria.

Cell: 3.155 3.155 9.005 Å, 90.00 90.00 90.00°
Element x y z (fractional)
Hg 0.000 0.000 0.200
Hg 0.000 0.000 0.800
Ru 0.500 0.500 0.000
Pb 0.500 0.500 0.500

Calculated values
Volume   22.41 Å³ per atom
Space-group type   P4/mmm (123)
Energy of formation   0.453 eV per atom
Uncorrected energy   -2.9441 eV per atom

Record 16
The following is a PBE calculation of a relaxed structure of Pr3SmO, from Alexandria.

Cell: 5.157 5.157 5.157 Å, 90.00 90.00 90.00°
Element x y z (fractional)
Pr 0.000 0.000 0.500
Pr 0.000 0.500 0.000
Pr 0.500 0.000 0.000
Sm 0.500 0.500 0.500
O 0.000 0.000 0.000

Calculated values
Volume   27.44 Å³ per atom
Space-group type   Pm-3m (221)
Formation energy without anion corrections   -1.079 eV/atom
Uncorrected energy   -5.8822 eV per atom

Record 17
The following is a PBE calculation of a relaxed structure of Re2SiTe, from Alexandria.

Cell: 4.444 4.444 3.163 Å, 90.00 90.00 90.00°
Element x y z (fractional)
Re 0.000 0.500 0.000
Re 0.500 0.000 0.000
Si 0.000 0.000 0.500
Te 0.500 0.500 0.500

Calculated values
Volume   15.62 Å³ per atom
Relative energy among the computed polymorphs   158 meV per atom
Space-group type   P4/mmm (123)
Formation energy without anion corrections   0.461 eV/atom
Uncorrected energy   -7.9047 eV per atom

Record 18
The following is a PBE calculation of a relaxed structure of Pb5Se, from Alexandria.

Cell: 6.480 6.480 6.480 Å, 60.00 60.00 60.00°
Element x y z (fractional)
Pb 0.000 0.000 0.000
Pb 0.124 0.625 0.625
Pb 0.625 0.124 0.625
Pb 0.625 0.625 0.124
Pb 0.625 0.625 0.625
Se 0.250 0.250 0.250

Calculated values
Volume   32.07 Å³ per atom
Relative energy among the computed polymorphs   247 meV per atom
Space-group type   F-43m (216)
Formation energy without anion corrections   0.183 eV/atom
Uncorrected energy   -3.4876 eV per atom

Record 19
The following is a PBE calculation of a relaxed structure of OsPtW, from Alexandria.

Cell: 6.140 6.140 3.985 Å, 90.00 90.00 142.18°
Element x y z (fractional)
Os 0.248 0.752 0.750
Os 0.752 0.248 0.250
Pt 0.079 0.921 0.250
Pt 0.921 0.079 0.750
W 0.402 0.598 0.250
W 0.598 0.402 0.750

Calculated values
Volume   15.35 Å³ per atom
Relative energy among the computed polymorphs   9 meV per atom
Space-group type   Cmcm (63)
Energy of formation   -0.114 eV per atom
Uncorrected energy   -10.1887 eV per atom

Record 20
The following is a PBE calculation of a relaxed structure of PuSnAs2, from Alexandria.

Cell: 3.829 3.829 6.199 Å, 90.00 90.00 90.00°
Element x y z (fractional)
Pu 0.000 0.000 0.000
Sn 0.000 0.000 0.500
As 0.500 0.500 0.225
As 0.500 0.500 0.775

Calculated values
Volume   22.73 Å³ per atom
Relative energy among the computed polymorphs   59 meV per atom
Space-group type   P4/mmm (123)
Energy of formation   -0.419 eV per atom
Uncorrected energy   -7.3275 eV per atom